Material: YErTlCo
Method: DFT, PBE
State: relaxed

## Properties
- energy of formation (meV per atom) = -137
- energy above the most stable polymorph in this dataset (meV per atom) = 121

a = 5.089 Å, b = 5.089 Å, c = 5.089 Å
α = 60.00°, β = 60.00°, γ = 60.00°
Fractional coordinates of all 4 atoms:
Y 0.000 0.000 0.000
Er 0.500 0.500 0.500
Tl 0.250 0.250 0.250
Co 0.750 0.750 0.750